[1]
Computed, not measured: LaTc2B after structural relaxation at the PBE level of DFT.

Lattice parameters (Å, degrees): 8.346 8.346 8.346 148.08 148.08 45.77
Atoms (fractional coordinates):
La 0.000 0.000 0.000
La 0.750 0.250 0.500
Tc 0.324 0.625 0.199
Tc 0.375 0.574 0.699
Tc 0.426 0.125 0.801
Tc 0.875 0.676 0.301
B 0.250 0.750 0.500
B 0.500 0.500 0.000

Values from the calculation:
Size of the total moment (μB/f.u.): 0.0
Formation enthalpy at 0 K (eV/atom): 0.381

=====

[2]
Computed, not measured: LaTc4B2 after structural relaxation at the PBE level of DFT.

Lattice parameters (Å, degrees): 7.064 7.064 4.048 90.00 90.00 146.40
Atoms (fractional coordinates):
La 0.000 0.000 0.000
Tc 0.181 0.819 0.500
Tc 0.306 0.694 0.000
Tc 0.694 0.306 0.000
Tc 0.819 0.181 0.500
B 0.373 0.627 0.500
B 0.627 0.373 0.500

Values from the calculation:
Size of the total moment (μB/f.u.): 0.0
Formation enthalpy at 0 K (eV/atom): -0.139

=====

[3]
Computed, not measured: LaTc4B4 after structural relaxation at the PBE level of DFT.

Lattice parameters (Å, degrees): 7.501 7.501 4.226 90.00 90.00 90.00
Atoms (fractional coordinates):
La 0.250 0.250 0.250
La 0.750 0.750 0.750
Tc 0.118 0.627 0.122
Tc 0.127 0.882 0.622
Tc 0.373 0.618 0.622
Tc 0.382 0.873 0.122
Tc 0.618 0.127 0.878
Tc 0.627 0.382 0.378
Tc 0.873 0.118 0.378
Tc 0.882 0.373 0.878
B 0.057 0.921 0.124
B 0.079 0.557 0.624
B 0.421 0.943 0.624
B 0.443 0.579 0.124
B 0.557 0.421 0.876
B 0.579 0.057 0.376
B 0.921 0.443 0.376
B 0.943 0.079 0.876

Values from the calculation:
Size of the total moment (μB/f.u.): 0.0
Formation enthalpy at 0 K (eV/atom): -0.389

=====

[4]
Computed, not measured: LaTc2B6 after structural relaxation at the PBE level of DFT.

Lattice parameters (Å, degrees): 5.729 5.729 5.729 147.60 106.73 82.40
Atoms (fractional coordinates):
La 0.000 0.000 0.000
Tc 0.339 0.839 0.500
Tc 0.661 0.161 0.500
B 0.068 0.307 0.761
B 0.355 0.500 0.855
B 0.453 0.693 0.761
B 0.547 0.307 0.239
B 0.645 0.500 0.145
B 0.932 0.693 0.239

Values from the calculation:
Size of the total moment (μB/f.u.): 0.0
Formation enthalpy at 0 K (eV/atom): -0.468

=====

[5]
Computed, not measured: LaTc3B after structural relaxation at the PBE level of DFT.

Lattice parameters (Å, degrees): 4.340 4.340 4.340 90.00 90.00 90.00
Atoms (fractional coordinates):
La 0.000 0.000 0.000
Tc 0.000 0.500 0.500
Tc 0.500 0.000 0.500
Tc 0.500 0.500 0.000
B 0.500 0.500 0.500

Values from the calculation:
Size of the total moment (μB/f.u.): 2.1
Excess energy over the best structure of this formula in the dataset (meV/atom): 0
Formation enthalpy at 0 K (eV/atom): 0.199

=====

[6]
Computed, not measured: LaTc2B4 after structural relaxation at the PBE level of DFT.

Lattice parameters (Å, degrees): 6.575 6.575 5.892 109.69 109.69 51.33
Atoms (fractional coordinates):
La 0.241 0.759 0.750
La 0.759 0.241 0.250
Tc 0.187 0.329 0.837
Tc 0.329 0.187 0.337
Tc 0.671 0.813 0.663
Tc 0.813 0.671 0.163
B 0.044 0.248 0.029
B 0.214 0.627 0.195
B 0.248 0.044 0.529
B 0.373 0.786 0.305
B 0.627 0.214 0.695
B 0.752 0.956 0.471
B 0.786 0.373 0.805
B 0.956 0.752 0.971

Values from the calculation:
Size of the total moment (μB/f.u.): 0.0
Formation enthalpy at 0 K (eV/atom): -0.091